No. 1
VASP calculation (GGA-PBE) on an optimized crystal structure of Cr3Sn12Hg5.

Crystal system: cubic
ΔH_f (0 K) in eV per atom: 0.26
Electronic total energy in eV per cell: -292.912

POSCAR file:
```
Cr3Sn12Hg5
1.0
-8.342 8.342 8.342
8.342 -8.342 8.342
8.342 8.342 -8.342
Cr Sn Hg
12 48 20
Direct
0.125 0.250 0.375
0.125 0.375 0.750
0.250 0.375 0.125
0.250 0.875 0.625
0.375 0.125 0.250
0.375 0.750 0.125
0.625 0.250 0.875
0.625 0.875 0.750
0.750 0.125 0.375
0.750 0.625 0.875
0.875 0.625 0.250
0.875 0.750 0.625
0.065 0.636 0.399
0.065 0.929 0.665
0.071 0.236 0.136
0.071 0.335 0.935
0.101 0.736 0.665
0.101 0.864 0.435
0.136 0.071 0.236
0.136 0.565 0.899
0.165 0.236 0.601
0.165 0.429 0.565
0.236 0.136 0.071
0.236 0.601 0.165
0.264 0.335 0.899
0.264 0.429 0.364
0.335 0.899 0.264
0.335 0.935 0.071
0.364 0.264 0.429
0.364 0.601 0.935
0.399 0.065 0.636
0.399 0.835 0.764
0.429 0.364 0.264
0.429 0.565 0.165
0.435 0.101 0.864
0.435 0.835 0.571
0.565 0.165 0.429
0.565 0.899 0.136
0.571 0.435 0.835
0.571 0.636 0.736
0.601 0.165 0.236
0.601 0.935 0.364
0.636 0.399 0.065
0.636 0.736 0.571
0.665 0.065 0.929
0.665 0.101 0.736
0.736 0.571 0.636
0.736 0.665 0.101
0.764 0.399 0.835
0.764 0.864 0.929
0.835 0.571 0.435
0.835 0.764 0.399
0.864 0.435 0.101
0.864 0.929 0.764
0.899 0.136 0.565
0.899 0.264 0.335
0.929 0.665 0.065
0.929 0.764 0.864
0.935 0.071 0.335
0.935 0.364 0.601
0.000 0.000 0.000
0.000 0.000 0.500
0.000 0.500 0.000
0.000 0.500 0.500
0.125 0.750 0.875
0.125 0.875 0.250
0.250 0.125 0.875
0.250 0.625 0.375
0.375 0.250 0.625
0.375 0.625 0.750
0.500 0.000 0.000
0.500 0.000 0.500
0.500 0.500 0.000
0.500 0.500 0.500
0.625 0.375 0.250
0.625 0.750 0.375
0.750 0.375 0.625
0.750 0.875 0.125
0.875 0.125 0.750
0.875 0.250 0.125
```

No. 2
VASP calculation (GGA-PBE) on an optimized crystal structure of PmHPd.

Crystal system: orthorhombic
Electronic total energy in eV per cell: -60.060

POSCAR file:
```
PmHPd
1.0
6.650 0.000 0.000
0.000 6.451 0.000
0.000 0.000 4.894
Pm H Pd
4 4 4
Direct
0.190 0.125 0.000
0.310 0.625 0.500
0.690 0.375 0.000
0.810 0.875 0.500
0.038 0.439 0.813
0.462 0.939 0.313
0.538 0.061 0.813
0.962 0.561 0.313
0.038 0.691 0.997
0.462 0.191 0.497
0.538 0.809 0.997
0.962 0.309 0.497
```

No. 3
VASP calculation (GGA-PBE) on an optimized crystal structure of SiHg2Ir.

Crystal system: tetragonal
Electronic total energy in eV per cell: -12.206
Formation energy (no corrections) in eV per formula unit: 2.7

POSCAR file:
```
SiHg2Ir
1.0
4.916 0.000 0.000
0.000 4.916 0.000
0.000 0.000 3.069
Si Hg Ir
1 2 1
Direct
0.000 0.000 0.000
0.000 0.500 0.500
0.500 0.000 0.500
0.500 0.500 0.000
```

No. 4
VASP calculation (GGA-PBE) on an optimized crystal structure of SrAs2Pd.

Crystal system: orthorhombic
ΔH_f (0 K) in eV per atom: -0.64
Electronic total energy in eV per cell: -37.447

POSCAR file:
```
SrAs2Pd
1.0
4.339 0.000 0.000
0.000 5.684 0.000
0.000 0.000 8.222
Sr As Pd
2 4 2
Direct
0.000 0.000 0.000
0.000 0.500 0.500
0.500 0.214 0.730
0.500 0.286 0.230
0.500 0.714 0.230
0.500 0.786 0.730
0.500 0.000 0.457
0.500 0.500 0.957
```

No. 5
VASP calculation (GGA-PBE) on an optimized crystal structure of MgZr2CoH.

Crystal system: tetragonal
Electronic total energy in eV per cell: -29.688

POSCAR file:
```
MgZr2CoH
1.0
4.592 0.000 0.000
0.000 4.592 0.000
0.000 0.000 3.592
Mg Zr Co H
1 2 1 1
Direct
0.000 0.000 0.000
0.000 0.500 0.500
0.500 0.000 0.500
0.500 0.500 0.000
0.500 0.500 0.500
```